DFT (PBE) results for CsTcH3F after structural relaxation.

Cell and atoms, written as CIF:
```
data_CsTcH3F
_chemical_formula_sum 'Cs1 Tc1 H3 F1'
_cell_length_a 3.5329
_cell_length_b 3.5353
_cell_length_c 6.9196
_cell_angle_alpha 90.00
_cell_angle_beta 89.99
_cell_angle_gamma 90.00
_space_group_name_H-M_alt 'P 1'
_space_group_IT_number 1
_space_group_name_Hall 'P 1'
loop_
_atom_site_label
_atom_site_type_symbol
_atom_site_fract_x
_atom_site_fract_y
_atom_site_fract_z
F1 F 0.0779 0.4806 0.1507
Tc1 Tc 0.0776 0.4804 0.8446
H1 H 0.0777 0.4806 0.6020
Cs1 Cs 0.5779 0.9806 0.3710
H2 H 0.0768 0.9805 0.7735
H3 H 0.5776 0.4796 0.7730
```

Output
- Calculated density: 4860 kg/m3
- Space group: P4mm
- Total magnetization: 2.0 Bohr magnetons per cell
- Energy relative to the lowest polymorph listed for this composition: 0 meV/atom

DFT (PBE) results for CsTcH3F after structural relaxation.

Cell and atoms, written as CIF:
```
data_CsTcH3F
_chemical_formula_sum 'Cs2 Tc2 H6 F2'
_cell_length_a 3.6983
_cell_length_b 3.3003
_cell_length_c 13.1585
_cell_angle_alpha 90.00
_cell_angle_beta 90.01
_cell_angle_gamma 90.00
_space_group_name_H-M_alt 'P 1'
_space_group_IT_number 1
_space_group_name_Hall 'P 1'
loop_
_atom_site_label
_atom_site_type_symbol
_atom_site_fract_x
_atom_site_fract_y
_atom_site_fract_z
H1 H 0.5775 0.5000 0.5742
H2 H 0.0781 0.0000 0.1992
H3 H 0.5775 0.0000 0.0742
Tc1 Tc 0.0775 0.0000 0.0749
F1 F 0.0778 0.5000 0.9424
H4 H 0.0781 0.5000 0.6992
H5 H 0.0769 0.0000 0.6339
Cs1 Cs 0.5777 0.5000 0.3180
F2 F 0.0778 0.0000 0.4424
Tc2 Tc 0.0775 0.5000 0.5749
Cs2 Cs 0.5777 0.0000 0.8180
H6 H 0.0769 0.5000 0.1339
```

Output
- Calculated density: 5230 kg/m3
- Space group: Amm2
- Total magnetization: 3.1 Bohr magnetons per cell
- Energy relative to the lowest polymorph listed for this composition: 63 meV/atom

DFT (PBE) results for CsTcH3F after structural relaxation.

Cell and atoms, written as CIF:
```
data_CsTcH3F
_chemical_formula_sum 'Cs3 Tc3 H9 F3'
_cell_length_a 3.2880
_cell_length_b 3.2880
_cell_length_c 26.1005
_cell_angle_alpha 90.00
_cell_angle_beta 90.00
_cell_angle_gamma 120.00
_space_group_name_H-M_alt 'P 1'
_space_group_IT_number 1
_space_group_name_Hall 'P 1'
loop_
_atom_site_label
_atom_site_type_symbol
_atom_site_fract_x
_atom_site_fract_y
_atom_site_fract_z
Cs1 Cs 0.3333 0.6667 0.1042
H1 H 0.6667 0.3333 0.2647
H2 H 0.3333 0.6667 0.5980
Tc1 Tc 0.0000 0.0000 0.5750
H3 H 0.0000 0.0000 0.2195
H4 H 0.0000 0.0000 0.6376
Cs2 Cs 0.0000 0.0000 0.4376
F1 F 0.3333 0.6667 0.3707
Tc2 Tc 0.6667 0.3333 0.9083
H5 H 0.6667 0.3333 0.5528
H6 H 0.3333 0.6667 0.8861
Tc3 Tc 0.3333 0.6667 0.2416
F2 F 0.6667 0.3333 0.0373
H7 H 0.0000 0.0000 0.9313
Cs3 Cs 0.6667 0.3333 0.7709
H8 H 0.3333 0.6667 0.3042
F3 F 0.0000 0.0000 0.7040
H9 H 0.6667 0.3333 0.9709
```

Output
- Calculated density: 5156 kg/m3
- Space group: R3m
- Total magnetization: 2.7 Bohr magnetons per cell
- Energy relative to the lowest polymorph listed for this composition: 252 meV/atom

> Look up the energy relative to the lowest polymorph listed for this composition of the first one.

0 meV/atom